Below is a relaxed SrSmZnPd crystal, with properties calculated at the GGA-PBE level.

```
4
Lattice="-1.349 4.227 -2.744 -3.823 -0.297 -3.538 -4.574 2.343 0.898" Properties=species:S:1:pos:R:3 pbc="T T T"
Sr -7.309 4.704 -4.038
Zn 0.000 0.000 0.000
Pd -4.873 3.136 -2.692
Sm -2.436 1.568 -1.346
```

Computed properties:
SG: No. 216
E_form: -1.6 eV/f.u.

***

Below is a relaxed SmTaPd6 crystal, with properties calculated at the GGA-PBE level.

```
8
Lattice="4.066 0.000 0.000 0.000 4.066 0.000 0.000 0.000 8.145" Properties=species:S:1:pos:R:3 pbc="T T T"
Sm 0.000 0.000 0.000
Ta 0.000 0.000 4.072
Pd 2.033 2.033 0.000
Pd 2.033 2.033 4.072
Pd 2.033 0.000 2.190
Pd 2.033 0.000 5.955
Pd 0.000 2.033 2.190
Pd 0.000 2.033 5.955
```

Computed properties:
SG: No. 123
E_form: -5.1 eV/f.u.

***

Below is a relaxed Tb2SmPd crystal, with properties calculated at the GGA-PBE level.

```
4
Lattice="3.705 0.000 0.000 1.852 3.208 0.000 1.852 1.069 9.814" Properties=species:S:1:pos:R:3 pbc="T T T"
Tb 1.852 1.069 1.917
Tb 5.557 3.208 7.897
Pd 0.000 0.000 0.000
Sm 3.705 2.139 4.907
```

Computed properties:
SG: No. 166
E_form: -1.2 eV/f.u.